Entry 1:
A crystal of RbBeIrS2 relaxed with PBEsol. Source: Alexandria via LeMat-Bulk, functional SCAN.

Output
Energy relative to the elements, uncorrected in eV per atom: 2.61

a b c (Å): 4.943 5.301 5.301
angles (deg): 90.00 90.00 90.00
Positions (direct):
S1 0.000 0.500 0.000
S2 0.000 0.000 0.500
Ir1 0.500 0.000 0.000
Rb1 0.000 0.000 0.000
Be1 0.500 0.500 0.500

***

Entry 2:
A crystal of BeReIr2 relaxed with PBEsol. Source: Alexandria via LeMat-Bulk, functional SCAN.

Output
Energy relative to the elements in eV/atom: -0.531

a b c (Å): 2.755 2.755 6.580
angles (deg): 90.00 90.00 90.00
Positions (direct):
Re1 0.500 0.500 0.000
Be1 0.500 0.500 0.500
Ir1 0.000 0.000 0.283
Ir2 0.000 0.000 0.717

***

Entry 3:
A crystal of BeReIr2 relaxed with PBEsol. Source: Alexandria via LeMat-Bulk, functional SCAN.

Output
Energy relative to the elements in eV/atom: -0.212

a b c (Å): 2.723 4.530 4.591
angles (deg): 99.17 107.25 90.00
Positions (direct):
Re1 0.495 0.477 0.990
Ir1 0.749 0.283 0.497
Ir2 0.000 0.958 0.001
Be1 0.256 0.782 0.512

***

Entry 4:
A crystal of BeReIr2 relaxed with PBEsol. Source: Alexandria via LeMat-Bulk, functional SCAN.

Output
Energy relative to the elements in eV/atom: -0.177

a b c (Å): 2.724 3.758 5.204
angles (deg): 90.00 90.00 90.00
Positions (direct):
Re1 0.000 0.000 0.491
Ir1 0.000 0.000 0.956
Ir2 0.500 0.500 0.275
Be1 0.500 0.500 0.779

***

Entry 5:
A crystal of ScBeReIr2 relaxed with PBEsol. Source: Alexandria via LeMat-Bulk, functional SCAN.

Output
Energy relative to the elements in eV/atom: 1.322

a b c (Å): 4.696 4.696 4.801
angles (deg): 90.00 90.00 90.00
Positions (direct):
Re1 0.000 0.000 0.000
Be1 0.500 0.500 0.500
Sc1 0.000 0.000 0.500
Ir1 0.000 0.500 0.000
Ir2 0.500 0.000 0.000

***

Entry 6:
A crystal of BeIrRh2 relaxed with PBEsol. Source: Alexandria via LeMat-Bulk, functional SCAN.

Output
Energy relative to the elements in eV/atom: -0.108

a b c (Å): 3.664 3.720 3.720
angles (deg): 90.00 90.00 90.00
Positions (direct):
Be1 0.500 0.500 0.500
Rh1 0.000 0.000 0.500
Ir1 0.500 0.000 0.000
Rh2 0.000 0.500 0.000

***

Entry 7:
A crystal of BeIrRh2 relaxed with PBEsol. Source: Alexandria via LeMat-Bulk, functional SCAN.

Output
Energy relative to the elements in eV/atom: -0.350

a b c (Å): 2.722 2.722 6.520
angles (deg): 90.00 90.00 90.00
Positions (direct):
Rh1 0.500 0.500 0.289
Be1 0.000 0.000 0.497
Rh2 0.000 0.000 0.999
Ir1 0.500 0.500 0.714

***

Entry 8:
A crystal of BeIrRh2 relaxed with PBEsol. Source: Alexandria via LeMat-Bulk, functional SCAN.

Output
Energy relative to the elements in eV/atom: -0.050

a b c (Å): 2.648 2.648 8.281
angles (deg): 90.00 90.00 118.90
Positions (direct):
Be1 0.000 0.000 0.503
Rh1 0.500 0.500 0.722
Ir1 0.500 0.500 0.278
Rh2 0.000 0.000 0.998

***

Entry 9:
A crystal of BeIrRh2 relaxed with PBEsol. Source: Alexandria via LeMat-Bulk, functional SCAN.

Output
Energy relative to the elements in eV/atom: -0.231

a b c (Å): 2.690 3.841 5.041
angles (deg): 90.00 105.41 90.00
Positions (direct):
Rh1 0.934 0.000 0.992
Rh2 0.581 0.500 0.287
Be1 0.170 0.000 0.470
Ir1 0.314 0.500 0.752

***

Entry 10:
A crystal of BeIrRh2 relaxed with PBEsol. Source: Alexandria via LeMat-Bulk, functional SCAN.

Output
Energy relative to the elements in eV/atom: -0.349

a b c (Å): 2.710 2.710 6.572
angles (deg): 90.00 90.00 90.00
Positions (direct):
Be1 0.500 0.500 0.000
Rh1 0.000 0.000 0.212
Rh2 0.000 0.000 0.788
Ir1 0.500 0.500 0.500

***

Entry 11:
A crystal of SrBeIrRh2 relaxed with PBEsol. Source: Alexandria via LeMat-Bulk, functional SCAN.

Output
Energy relative to the elements in eV/atom: 2.573

a b c (Å): 4.722 4.722 4.873
angles (deg): 90.00 90.00 90.00
Positions (direct):
Rh1 0.000 0.500 0.000
Be1 0.500 0.500 0.500
Sr1 0.000 0.000 0.000
Rh2 0.500 0.000 0.000
Ir1 0.000 0.000 0.500

***

Entry 12:
A crystal of BeIrRu2 relaxed with PBEsol. Source: Alexandria via LeMat-Bulk, functional SCAN.

Output
Energy relative to the elements in eV/atom: -0.185

a b c (Å): 2.772 4.251 4.849
angles (deg): 116.00 106.61 90.00
Positions (direct):
Ir1 0.220 0.720 0.439
Be1 0.501 0.501 0.001
Ru1 0.778 0.278 0.557
Ru2 0.001 0.001 0.003

***

It is found that the total DFT energy (no corrections) values, taken in the order of the records, are -20.483, -54.943, -54.624, -54.589, -45.055, -35.857, -36.099, -35.799, -35.980, -36.098, -30.481, -36.461 eV per atom.
It is found that the total magnetic moment values, taken in the order of the records, are 0.576, 0.000, 0.000, 0.000, 0.000, 0.000, 0.000, 0.000, 0.000, 0.042, 0.325, 0.000 μB per atom.